#1
Material: Dy12YSc6
Method: DFT, PBE-GGA
State: relaxed

Lattice parameters (Å, degrees): 9.037 9.037 9.037 109.47 109.47 109.47
Fractional positions:
Dy1 0.070 0.803 0.267
Dy2 0.197 0.267 0.464
Dy3 0.197 0.733 0.930
Dy4 0.267 0.070 0.803
Dy5 0.267 0.464 0.197
Dy6 0.464 0.197 0.267
Dy7 0.536 0.803 0.733
Dy8 0.733 0.536 0.803
Dy9 0.733 0.930 0.197
Dy10 0.803 0.267 0.070
Dy11 0.803 0.733 0.536
Dy12 0.930 0.197 0.733
Y1 0.000 0.000 0.000
Sc1 0.138 0.638 0.500
Sc2 0.362 0.500 0.862
Sc3 0.500 0.138 0.638
Sc4 0.500 0.862 0.362
Sc5 0.638 0.500 0.138
Sc6 0.862 0.362 0.500

***

#2
Material: Dy12YSc6
Method: DFT, PBE-GGA
State: relaxed

Lattice parameters (Å, degrees): 9.035 9.035 9.035 107.60 107.60 107.60
Fractional positions:
Dy1 0.000 0.388 0.612
Dy2 0.000 0.612 0.388
Dy3 0.126 0.126 0.350
Dy4 0.126 0.350 0.126
Dy5 0.350 0.126 0.126
Dy6 0.388 0.000 0.612
Dy7 0.388 0.612 0.000
Dy8 0.612 0.000 0.388
Dy9 0.612 0.388 0.000
Dy10 0.650 0.874 0.874
Dy11 0.874 0.650 0.874
Dy12 0.874 0.874 0.650
Y1 0.500 0.500 0.500
Sc1 0.189 0.189 0.773
Sc2 0.189 0.773 0.189
Sc3 0.227 0.811 0.811
Sc4 0.773 0.189 0.189
Sc5 0.811 0.227 0.811
Sc6 0.811 0.811 0.227

***

Going by the energies, #1 is most stable and the next is 191 meV per atom up.

***

#1
Material: DyY4Sc4
Method: DFT, PBE-GGA
State: relaxed

Lattice parameters (Å, degrees): 7.679 7.679 7.679 95.70 95.70 143.25
Fractional positions:
Dy1 0.000 0.000 0.000
Y1 0.000 0.327 0.327
Y2 0.000 0.673 0.673
Y3 0.327 0.000 0.327
Y4 0.673 0.000 0.673
Sc1 0.334 0.334 0.668
Sc2 0.334 0.666 0.000
Sc3 0.666 0.334 0.000
Sc4 0.666 0.666 0.332

***

#2
Material: DyY4Sc4
Method: DFT, PBE-GGA
State: relaxed

Lattice parameters (Å, degrees): 8.727 8.727 8.995 107.36 107.36 23.39
Fractional positions:
Dy1 0.000 0.000 0.000
Y1 0.197 0.197 0.305
Y2 0.339 0.339 0.062
Y3 0.661 0.661 0.938
Y4 0.803 0.803 0.695
Sc1 0.124 0.124 0.608
Sc2 0.478 0.478 0.669
Sc3 0.522 0.522 0.331
Sc4 0.876 0.876 0.392

***

Going by the energies, #2 is most stable and the next is 26 meV per atom up.

***

#1
Material: Dy2Y3Sc3
Method: DFT, PBE-GGA
State: relaxed

Lattice parameters (Å, degrees): 6.251 6.251 6.251 85.21 85.21 85.21
Fractional positions:
Dy1 0.249 0.249 0.249
Dy2 0.751 0.751 0.751
Y1 0.000 0.242 0.758
Y2 0.242 0.758 0.000
Y3 0.758 0.000 0.242
Sc1 0.276 0.724 0.500
Sc2 0.500 0.276 0.724
Sc3 0.724 0.500 0.276

***

#2
Material: Dy2Y3Sc3
Method: DFT, PBE-GGA
State: relaxed

Lattice parameters (Å, degrees): 10.386 10.386 10.386 153.21 152.59 38.71
Fractional positions:
Dy1 0.249 0.249 0.000
Dy2 0.751 0.751 0.000
Y1 0.000 0.000 0.000
Y2 0.378 0.878 0.500
Y3 0.622 0.122 0.500
Sc1 0.124 0.624 0.500
Sc2 0.500 0.500 0.000
Sc3 0.876 0.376 0.500

***

Going by the energies, #2 is most stable and the next is 180 meV per atom up.

***

#1
Material: Dy3Y7Sc
Method: DFT, PBE-GGA
State: relaxed

Lattice parameters (Å, degrees): 9.792 9.792 6.541 100.67 100.67 138.71
Fractional positions:
Dy1 0.000 0.000 0.000
Dy2 0.000 0.500 0.500
Dy3 0.500 0.000 0.500
Y1 0.086 0.914 0.500
Y2 0.122 0.442 0.061
Y3 0.442 0.122 0.061
Y4 0.500 0.500 0.500
Y5 0.558 0.878 0.939
Y6 0.878 0.558 0.939
Y7 0.914 0.086 0.500
Sc1 0.500 0.500 0.000

***

#2
Material: Dy3Y7Sc
Method: DFT, PBE-GGA
State: relaxed

Lattice parameters (Å, degrees): 7.025 7.025 8.539 90.00 90.00 120.00
Fractional positions:
Dy1 0.002 0.501 0.000
Dy2 0.499 0.501 0.000
Dy3 0.499 0.998 0.000
Y1 0.169 0.337 0.339
Y2 0.169 0.831 0.339
Y3 0.336 0.168 0.670
Y4 0.663 0.831 0.339
Y5 0.667 0.333 0.338
Y6 0.832 0.168 0.670
Y7 0.832 0.664 0.670
Sc1 0.333 0.667 0.667

***

Going by the energies, #1 is most stable and the next is 56 meV per atom up.

***

#1
Material: Dy2YSc3
Method: DFT, PBE-GGA
State: relaxed

Lattice parameters (Å, degrees): 5.965 3.442 16.534 90.00 96.93 90.00
Fractional positions:
Dy1 0.027 0.250 0.333
Dy2 0.250 0.250 0.000
Dy3 0.750 0.750 0.000
Dy4 0.973 0.750 0.667
Y1 0.472 0.250 0.667
Y2 0.528 0.750 0.333
Sc1 0.138 0.750 0.167
Sc2 0.248 0.750 0.499
Sc3 0.361 0.750 0.834
Sc4 0.639 0.250 0.166
Sc5 0.752 0.250 0.501
Sc6 0.862 0.250 0.833

***

#2
Material: Dy2YSc3
Method: DFT, PBE-GGA
State: relaxed

Lattice parameters (Å, degrees): 6.316 6.316 10.269 90.00 90.00 120.00
Fractional positions:
Dy1 0.000 0.000 0.000
Dy2 0.000 0.000 0.500
Dy3 0.333 0.667 0.062
Dy4 0.667 0.333 0.938
Y1 0.333 0.667 0.437
Y2 0.667 0.333 0.563
Sc1 0.171 0.343 0.750
Sc2 0.171 0.829 0.750
Sc3 0.343 0.171 0.250
Sc4 0.657 0.829 0.750
Sc5 0.829 0.171 0.250
Sc6 0.829 0.657 0.250

***

Going by the energies, #1 is most stable and the next is 170 meV per atom up.

***

#1
Material: Dy3Y8Sc2
Method: DFT, PBE-GGA
State: relaxed

Lattice parameters (Å, degrees): 10.491 10.491 5.596 90.02 90.02 42.89
Fractional positions:
Dy1 0.000 0.000 0.000
Dy2 0.287 0.713 0.500
Dy3 0.713 0.287 0.500
Y1 0.134 0.134 0.500
Y2 0.179 0.598 0.000
Y3 0.322 0.322 0.499
Y4 0.402 0.821 0.000
Y5 0.598 0.179 0.000
Y6 0.678 0.678 0.501
Y7 0.821 0.402 0.000
Y8 0.866 0.866 0.500
Sc1 0.241 0.241 0.999
Sc2 0.759 0.759 0.001

***

#2
Material: Dy3Y8Sc2
Method: DFT, PBE-GGA
State: relaxed

Lattice parameters (Å, degrees): 8.679 8.679 6.689 106.23 106.23 63.20
Fractional positions:
Dy1 0.000 0.000 0.000
Dy2 0.170 0.830 0.500
Dy3 0.830 0.170 0.500
Y1 0.189 0.189 0.895
Y2 0.198 0.560 0.805
Y3 0.407 0.407 0.281
Y4 0.440 0.802 0.195
Y5 0.560 0.198 0.805
Y6 0.593 0.593 0.719
Y7 0.802 0.440 0.195
Y8 0.811 0.811 0.105
Sc1 0.201 0.201 0.422
Sc2 0.799 0.799 0.578

***

Going by the energies, #2 is most stable and the next is 12 meV per atom up.

***

#1
Material: Dy3Y2Sc2
Method: DFT, PBE-GGA
State: relaxed

Lattice parameters (Å, degrees): 8.221 8.221 8.221 109.47 109.47 109.47
Fractional positions:
Dy1 0.184 0.934 0.250
Dy2 0.250 0.184 0.934
Dy3 0.316 0.566 0.750
Dy4 0.566 0.750 0.316
Dy5 0.750 0.316 0.566
Dy6 0.934 0.250 0.184
Y1 0.000 0.697 0.500
Y2 0.500 0.000 0.697
Y3 0.697 0.500 0.000
Y4 0.803 0.803 0.803
Sc1 0.000 0.101 0.500
Sc2 0.101 0.500 0.000
Sc3 0.399 0.399 0.399
Sc4 0.500 0.000 0.101

***

#2
Material: Dy3Y2Sc2
Method: DFT, PBE-GGA
State: relaxed

Lattice parameters (Å, degrees): 6.263 10.518 6.435 90.00 92.87 90.00
Fractional positions:
Dy1 0.000 0.000 0.000
Dy2 0.000 0.500 0.500
Dy3 0.257 0.059 0.530
Dy4 0.257 0.441 0.030
Dy5 0.743 0.559 0.970
Dy6 0.743 0.941 0.470
Y1 0.144 0.739 0.748
Y2 0.144 0.761 0.248
Y3 0.856 0.239 0.752
Y4 0.856 0.261 0.252
Sc1 0.445 0.144 0.032
Sc2 0.445 0.356 0.532
Sc3 0.555 0.644 0.468
Sc4 0.555 0.856 0.968

***

Going by the energies, #2 is most stable and the next is 14 meV per atom up.

***

#1
Material: Dy6Y3Sc
Method: DFT, PBE-GGA
State: relaxed

Lattice parameters (Å, degrees): 6.838 6.838 6.838 91.00 91.00 91.00
Fractional positions:
Dy1 0.001 0.676 0.323
Dy2 0.163 0.511 0.831
Dy3 0.323 0.001 0.676
Dy4 0.511 0.831 0.163
Dy5 0.676 0.323 0.001
Dy6 0.831 0.163 0.511
Y1 0.156 0.156 0.156
Y2 0.406 0.406 0.406
Y3 0.664 0.664 0.664
Sc1 0.909 0.909 0.909

***

#2
Material: Dy6Y3Sc
Method: DFT, PBE-GGA
State: relaxed

Lattice parameters (Å, degrees): 10.917 10.917 6.116 90.00 90.00 119.90
Fractional positions:
Dy1 0.044 0.465 0.929
Dy2 0.049 0.951 0.500
Dy3 0.279 0.721 0.206
Dy4 0.289 0.382 0.103
Dy5 0.382 0.289 0.603
Dy6 0.465 0.044 0.429
Dy7 0.535 0.956 0.929
Dy8 0.618 0.711 0.103
Dy9 0.711 0.618 0.603
Dy10 0.721 0.279 0.706
Dy11 0.951 0.049 0.000
Dy12 0.956 0.535 0.429
Y1 0.056 0.276 0.525
Y2 0.276 0.056 0.025
Y3 0.388 0.612 0.635
Y4 0.612 0.388 0.135
Y5 0.724 0.944 0.525
Y6 0.944 0.724 0.025
Sc1 0.207 0.793 0.702
Sc2 0.793 0.207 0.202

***

Going by the energies, #2 is most stable and the next is 118 meV per atom up.